[1]
VASP calculation (PBE) on crystalline Nd5Si2Bi at its relaxed geometry.

Values from the calculation:
* M_tot: 4.12 Bohr magnetons per cell
* density: 7.1 Mg/m³
* DFT total energy: -88.0 eV per cell

The structure in POSCAR format:
```
Nd5Si2Bi
1.0
-3.982 3.982 7.267
3.982 -3.982 7.267
3.982 3.982 -7.267
Nd Bi Si
10 2 4
Direct
0.031 0.194 0.500 Nd
0.806 0.306 0.837 Nd
0.694 0.531 0.500 Nd
0.194 0.694 0.163 Nd
0.469 0.969 0.163 Nd
0.500 0.500 0.000 Nd
0.531 0.031 0.837 Nd
0.306 0.469 0.500 Nd
0.969 0.806 0.500 Nd
0.000 0.000 0.000 Nd
0.250 0.250 0.000 Bi
0.750 0.750 0.000 Bi
0.625 0.875 0.500 Si
0.375 0.125 0.500 Si
0.875 0.375 0.251 Si
0.125 0.625 0.749 Si
```

[2]
VASP calculation (PBE) on crystalline NbSbPd2 at its relaxed geometry.

Values from the calculation:
* M_tot: 0.01 Bohr magnetons per cell
* density: 10.2 Mg/m³
* DFT total energy: -25.6 eV per cell

The structure in POSCAR format:
```
NbSbPd2
1.0
-4.285 -1.535 0.773
-3.267 0.558 -3.215
-1.598 -3.654 -2.326
Sb Nb Pd
1 1 2
Direct
0.500 0.500 0.500 Sb
0.250 0.250 0.250 Nb
0.000 0.000 0.000 Pd
0.750 0.750 0.750 Pd
```